Here is a relaxed structure of Sm2BeGa3Pt4 from Alexandria via LeMat-Bulk. Energies are from PBE-GGA.

Lattice parameters (Å, degrees): 4.145 4.145 10.694 90.00 90.00 90.00
Space group P-4m2 (No. 115)
Asymmetric unit:
Sm  0.000  0.500  0.241 x2
Be  0.500  0.500  0.000 x1
Ga  0.000  0.000  0.000 x1
Ga  0.000  0.500  0.639 x2
Pt  0.000  0.000  0.500 x1
Pt  0.000  0.500  0.873 x2
Pt  0.500  0.500  0.500 x1

Properties
Magnetization (Bohr magnetons per cell): 0.00
E_form (eV/f.u.): -9.0
V (Å³ per atom): 18.38
Uncorrected energy (Ha/atom): -0.204
Crystal system: tetragonal